(1)
Compound: NbTeP2Cl
Source: Alexandria
Functional: PBE-GGA
Structure: relaxed

## Properties
Polymorph energy (0 for the lowest one) = 0 meV per atom
Crystal system = tetragonal
Formation energy from raw total energies = 0.920 eV per formula unit

a b c (Å): 4.9768 4.9768 4.6971
angles (deg): 90.00 90.00 90.00
Element x y z (fractional)
Nb1 0.0000 0.0000 0.0000
Te1 0.5000 0.5000 0.5000
P1 0.0000 0.5000 0.0000
P2 0.5000 0.0000 0.0000
Cl1 0.0000 0.0000 0.5000

=====

(2)
Compound: Ho6Ge3P2Se
Source: Alexandria
Functional: PBE-GGA
Structure: relaxed

## Properties
Crystal system = monoclinic
Formation energy from raw total energies = -14.623 eV per formula unit

a b c (Å): 9.2228 9.2228 8.3562
angles (deg): 106.32 106.32 24.80
Element x y z (fractional)
Ho1 0.0041 0.0041 0.2544
Ho2 0.3298 0.3298 0.4267
Ho3 0.3323 0.3323 0.9052
Ho4 0.6677 0.6677 0.0948
Ho5 0.6702 0.6702 0.5733
Ho6 0.9959 0.9959 0.7456
Ge1 0.1646 0.1646 0.8319
Ge2 0.5000 0.5000 0.5000
Ge3 0.8354 0.8354 0.1681
P1 0.1664 0.1664 0.3320
P2 0.8336 0.8336 0.6680
Se1 0.5000 0.5000 0.0000

=====

(3)
Compound: AcTb2Pm4Dy
Source: Alexandria
Functional: PBE-GGA
Structure: relaxed

## Properties
Formation energy = 0.028 eV/atom
Crystal system = orthorhombic

a b c (Å): 5.1532 5.1784 10.3643
angles (deg): 90.00 90.00 90.00
Element x y z (fractional)
Ac1 0.0000 0.0000 0.0000
Tb1 0.0000 0.0000 0.5000
Tb2 0.5000 0.5000 0.0000
Pm1 0.0000 0.5000 0.2576
Pm2 0.0000 0.5000 0.7424
Pm3 0.5000 0.0000 0.2581
Pm4 0.5000 0.0000 0.7419
Dy1 0.5000 0.5000 0.5000

=====

(4)
Compound: PmSiO3
Source: Alexandria
Functional: PBE-GGA
Structure: relaxed

## Properties
Crystal system = monoclinic
Formation energy from raw total energies = -14.605 eV per formula unit

a b c (Å): 6.1203 5.4717 10.8991
angles (deg): 90.00 112.32 90.00
Element x y z (fractional)
Pm1 0.2069 0.0521 0.1811
Pm2 0.2069 0.4479 0.6811
Pm3 0.7931 0.5521 0.3189
Pm4 0.7931 0.9479 0.8189
Si1 0.3340 0.5730 0.4133
Si2 0.3340 0.9270 0.9133
Si3 0.6660 0.0730 0.0867
Si4 0.6660 0.4270 0.5867
O1 0.1587 0.1318 0.8085
O2 0.1587 0.3682 0.3085
O3 0.1588 0.6852 0.4832
O4 0.1588 0.8148 0.9832
O5 0.4379 0.7455 0.8260
O6 0.4379 0.7545 0.3260
O7 0.5621 0.2455 0.6740
O8 0.5621 0.2545 0.1740
O9 0.8412 0.1852 0.0168
O10 0.8412 0.3148 0.5168
O11 0.8413 0.6318 0.6915
O12 0.8413 0.8682 0.1915

=====

(5)
Compound: Sm3Dy4Ag
Source: Alexandria
Functional: PBE-GGA
Structure: relaxed

## Properties
Formation energy = -0.059 eV/atom
Crystal system = tetragonal

a b c (Å): 3.5806 3.5806 19.0785
angles (deg): 90.00 90.00 90.00
Element x y z (fractional)
Sm1 0.0000 0.0000 0.0000
Sm2 0.0000 0.0000 0.2661
Sm3 0.0000 0.0000 0.7339
Dy1 0.5000 0.5000 0.1334
Dy2 0.5000 0.5000 0.4012
Dy3 0.5000 0.5000 0.5988
Dy4 0.5000 0.5000 0.8666
Ag1 0.0000 0.0000 0.5000

=====

(6)
Compound: KGaSe2N
Source: Alexandria
Functional: PBE-GGA
Structure: relaxed

## Properties
Polymorph energy (0 for the lowest one) = 1078 meV per atom
Crystal system = tetragonal
Formation energy from raw total energies = 6.472 eV per formula unit

a b c (Å): 6.0079 6.0079 5.1262
angles (deg): 90.00 90.00 90.00
Element x y z (fractional)
K1 0.0000 0.0000 0.0000
Ga1 0.5000 0.5000 0.5000
Se1 0.0000 0.5000 0.0000
Se2 0.5000 0.0000 0.0000
N1 0.0000 0.0000 0.5000

=====

(7)
Compound: Pm6PrHo4
Source: Alexandria
Functional: PBE-GGA
Structure: relaxed

## Properties
Formation energy = 0.114 eV/atom
Polymorph energy (0 for the lowest one) = 0 meV per atom
Crystal system = orthorhombic

a b c (Å): 5.6647 5.6647 25.8901
angles (deg): 90.00 90.00 117.55
Element x y z (fractional)
Pm1 0.0000 0.0000 0.0000
Pm2 0.0000 0.0000 0.5000
Pm3 0.0535 0.9465 0.7500
Pm4 0.2973 0.7027 0.0994
Pm5 0.2973 0.7027 0.4006
Pm6 0.3803 0.6197 0.6807
Pm7 0.3803 0.6197 0.8193
Pm8 0.6197 0.3803 0.1807
Pm9 0.6197 0.3803 0.3193
Pm10 0.7027 0.2973 0.5994
Pm11 0.7027 0.2973 0.9006
Pm12 0.9465 0.0535 0.2500
Pr1 0.2858 0.7142 0.2500
Pr2 0.7142 0.2858 0.7500
Ho1 0.0466 0.9534 0.6231
Ho2 0.0466 0.9534 0.8769
Ho3 0.3509 0.6491 0.5434
Ho4 0.3509 0.6491 0.9566
Ho5 0.6491 0.3509 0.0434
Ho6 0.6491 0.3509 0.4566
Ho7 0.9534 0.0466 0.1231
Ho8 0.9534 0.0466 0.3769

=====

(8)
Compound: P2RuNO
Source: Alexandria
Functional: PBE-GGA
Structure: relaxed

## Properties
Polymorph energy (0 for the lowest one) = 355 meV per atom
Crystal system = monoclinic
Formation energy from raw total energies = -1.212 eV per formula unit

a b c (Å): 5.3073 5.3073 5.8688
angles (deg): 105.75 105.75 31.12
Element x y z (fractional)
P1 0.0000 0.0000 0.0000
P2 0.1178 0.1178 0.3844
Ru1 0.4359 0.4359 0.7144
N1 0.5689 0.5689 0.4918
O1 0.2679 0.2679 0.3933

=====

N(E_F) (states/eV/f.u.)
4.00, 5.51, 11.83, 0.00, 9.52, 4.04, 19.48, 3.27
VASP energy (eV per atom)
-4.992, -5.854, -4.593, -7.931, -4.486, -2.589, -4.576, -6.918